The following is a DFT calculation (PBE+U) of crystalline W2IClF at its relaxed geometry.

```
W2IClF
1.0
5.162 0.000 0.000
0.000 5.162 0.000
0.000 0.000 4.969
W I Cl F
2 1 1 1
Direct
0.000 0.500 0.000
0.500 0.000 0.000
0.000 0.000 0.500
0.500 0.500 0.000
0.500 0.500 0.500
```

Summary:
Symmetry: P4/mmm (123)
VASP energy in eV/atom: -3.2438
Total moment in μB/cell: 8.83
Density in g/cm3: 6.89
Fermi-level density of states in states/eV/atom: 0.352